Entry 1:
VASP calculation (PBE-GGA) on a relaxed structure of HfSc3Ru.

Cell and atoms, written as CIF:
```
data_HfSc3Ru
_chemical_formula_sum 'Hf1 Sc3 Ru1'
_space_group_name_H-M_alt 'P m -3 m'
_space_group_IT_number 221
_space_group_name_Hall '-P 4 2 3'
_cell_length_a 4.992
_cell_length_b 4.992
_cell_length_c 4.992
_cell_angle_alpha 90.00
_cell_angle_beta 90.00
_cell_angle_gamma 90.00
loop_
_atom_site_label
_atom_site_fract_x
_atom_site_fract_y
_atom_site_fract_z
Hf1 0.000 0.000 0.000
Sc1 0.000 0.000 0.500
Ru1 0.500 0.500 0.500
```


Entry 2:
VASP calculation (PBE-GGA) on a relaxed structure of HfScRu2.

Cell and atoms, written as CIF:
```
data_HfScRu2
_chemical_formula_sum 'Hf4 Sc4 Ru8'
_space_group_name_H-M_alt 'F m -3 m'
_space_group_IT_number 225
_space_group_name_Hall '-F 4 2 3'
_cell_length_a 6.442
_cell_length_b 6.442
_cell_length_c 6.442
_cell_angle_alpha 90.00
_cell_angle_beta 90.00
_cell_angle_gamma 90.00
loop_
_atom_site_label
_atom_site_fract_x
_atom_site_fract_y
_atom_site_fract_z
Hf1 0.000 0.000 0.000
Sc1 0.000 0.000 0.500
Ru1 0.250 0.250 0.250
```


Entry 3:
VASP calculation (PBE-GGA) on a relaxed structure of HfSc2Ru2.

Cell and atoms, written as CIF:
```
data_HfSc2Ru2
_chemical_formula_sum 'Hf2 Sc4 Ru4'
_space_group_name_H-M_alt 'P 4/m b m'
_space_group_IT_number 127
_space_group_name_Hall '-P 4 2ab'
_cell_length_a 7.440
_cell_length_b 7.440
_cell_length_c 3.336
_cell_angle_alpha 90.00
_cell_angle_beta 90.00
_cell_angle_gamma 90.00
loop_
_atom_site_label
_atom_site_fract_x
_atom_site_fract_y
_atom_site_fract_z
Hf1 0.000 0.000 0.000
Sc1 0.148 0.352 0.500
Ru1 0.154 0.654 0.000
```


Entry 4:
VASP calculation (PBE-GGA) on a relaxed structure of Hf2Sc2Ru.

Cell and atoms, written as CIF:
```
data_Hf2Sc2Ru
_chemical_formula_sum 'Hf4 Sc4 Ru2'
_space_group_name_H-M_alt 'I 4/m m m'
_space_group_IT_number 139
_space_group_name_Hall '-I 4 2'
_cell_length_a 3.772
_cell_length_b 3.772
_cell_length_c 15.698
_cell_angle_alpha 90.00
_cell_angle_beta 90.00
_cell_angle_gamma 90.00
loop_
_atom_site_label
_atom_site_fract_x
_atom_site_fract_y
_atom_site_fract_z
Hf1 0.000 0.500 0.250
Sc1 0.000 0.000 0.087
Ru1 0.000 0.000 0.500
```


Entry 5:
VASP calculation (PBE-GGA) on a relaxed structure of HfSc2Ru.

Cell and atoms, written as CIF:
```
data_HfSc2Ru
_chemical_formula_sum 'Hf4 Sc8 Ru4'
_space_group_name_H-M_alt 'F m -3 m'
_space_group_IT_number 225
_space_group_name_Hall '-F 4 2 3'
_cell_length_a 6.767
_cell_length_b 6.767
_cell_length_c 6.767
_cell_angle_alpha 90.00
_cell_angle_beta 90.00
_cell_angle_gamma 90.00
loop_
_atom_site_label
_atom_site_fract_x
_atom_site_fract_y
_atom_site_fract_z
Hf1 0.000 0.000 0.000
Sc1 0.250 0.250 0.250
Ru1 0.000 0.000 0.500
```


Entry 6:
VASP calculation (PBE-GGA) on a relaxed structure of HfSc2Ru2.

Cell and atoms, written as CIF:
```
data_HfSc2Ru2
_chemical_formula_sum 'Hf2 Sc4 Ru4'
_space_group_name_H-M_alt 'C m m m'
_space_group_IT_number 65
_space_group_name_Hall '-C 2 2'
_cell_length_a 3.197
_cell_length_b 19.290
_cell_length_c 3.173
_cell_angle_alpha 90.00
_cell_angle_beta 90.00
_cell_angle_gamma 90.00
loop_
_atom_site_label
_atom_site_fract_x
_atom_site_fract_y
_atom_site_fract_z
Hf1 0.000 0.000 0.000
Sc1 0.000 0.168 0.000
Ru1 0.000 0.414 0.500
```


no.,E (eV per atom)
1,-6.31
2,-9.44
3,-8.64
4,-7.78
5,-7.95
6,-8.78